First-principles (PBE-GGA) data for LaDy2Y after structural relaxation, as listed in Alexandria.

a b c (Å): 7.1879 7.1879 5.1162
angles (deg): 89.98 89.98 90.52
Positions (direct):
La 0.8737 0.1263 0.2500
La 0.1263 0.8737 0.7500
Dy 0.1261 0.3760 0.7500
Dy 0.6240 0.8739 0.7500
Dy 0.8739 0.6240 0.2500
Dy 0.3760 0.1261 0.2500
Y 0.3779 0.6221 0.2500
Y 0.6221 0.3779 0.7500

Formation energy = 10 kJ/mol of formula units
Total magnetization = 0.00 Bohr magnetons per cell

---

First-principles (PBE-GGA) data for La4Dy4Y after structural relaxation, as listed in Alexandria.

a b c (Å): 5.2812 5.2812 12.6688
angles (deg): 99.14 99.14 103.75
Positions (direct):
La 0.4817 0.9817 0.9634
La 0.9817 0.4817 0.9634
La 0.2180 0.2180 0.4360
La 0.7545 0.7545 0.5090
Dy 0.6113 0.6113 0.7341
Dy 0.4537 0.8006 0.2543
Dy 0.1227 0.1227 0.7341
Dy 0.8006 0.4537 0.2543
Y 0.0757 0.0757 0.1514

Formation energy = 420 kJ/mol of formula units
Total magnetization = 0.00 Bohr magnetons per cell

---

First-principles (PBE-GGA) data for LaDy5Y12 after structural relaxation, as listed in Alexandria.

a b c (Å): 15.1569 10.7222 5.0536
angles (deg): 90.00 90.00 45.06
Positions (direct):
La 0.0000 0.0000 0.0000
Dy 0.5000 0.0000 0.5000
Dy 0.1690 0.6620 0.5000
Dy 0.8310 0.3380 0.5000
Dy 0.6664 0.6672 0.0000
Dy 0.3336 0.3328 0.0000
Y 0.8321 0.0000 0.5003
Y 0.1679 0.0000 0.4997
Y 0.6657 0.0000 0.0003
Y 0.3343 0.0000 0.9997
Y 0.3351 0.6637 0.9999
Y 0.0011 0.6637 0.0001
Y 0.9989 0.3363 0.9999
Y 0.6649 0.3363 0.0001
Y 0.4993 0.3320 0.5001
Y 0.8313 0.6681 0.5001
Y 0.1687 0.3319 0.4999
Y 0.5007 0.6680 0.4999

Formation energy = 45 kJ/mol of formula units
Total magnetization = 0.00 Bohr magnetons per cell

---

First-principles (PBE-GGA) data for LaDy2Y2 after structural relaxation, as listed in Alexandria.

a b c (Å): 9.4850 9.4850 3.7633
angles (deg): 90.00 90.00 90.00
Positions (direct):
La 0.0000 0.0000 0.0000
La 0.5000 0.5000 0.0000
Dy 0.1242 0.6242 0.0000
Dy 0.6242 0.8758 0.0000
Dy 0.8758 0.3758 0.0000
Dy 0.3758 0.1242 0.0000
Y 0.3283 0.8283 0.5000
Y 0.8283 0.6717 0.5000
Y 0.6717 0.1717 0.5000
Y 0.1717 0.3283 0.5000

Formation energy = 37 kJ/mol of formula units
Total magnetization = 0.00 Bohr magnetons per cell

---

First-principles (PBE-GGA) data for La2Dy9Y3 after structural relaxation, as listed in Alexandria.

a b c (Å): 5.6335 10.0552 10.0555
angles (deg): 61.26 73.71 73.70
Positions (direct):
La 0.5053 0.2952 0.6945
La 0.5053 0.6945 0.2952
Dy 0.0836 0.4165 0.4165
Dy 0.7019 0.9590 0.6364
Dy 0.2919 0.0405 0.3759
Dy 0.7019 0.6364 0.9590
Dy 0.2919 0.3759 0.0405
Dy 0.8951 0.7765 0.4332
Dy 0.1016 0.0631 0.7330
Dy 0.8951 0.4332 0.7765
Dy 0.1016 0.7330 0.0631
Y 0.9155 0.0861 0.0861
Y 0.7043 0.2956 0.2956
Y 0.3052 0.6946 0.6946

Formation energy = 242 kJ/mol of formula units
Total magnetization = 0.00 Bohr magnetons per cell

---

First-principles (PBE-GGA) data for La3Dy8Y after structural relaxation, as listed in Alexandria.

a b c (Å): 8.4274 8.4274 8.4274
angles (deg): 95.47 116.89 116.89
Positions (direct):
La 0.5000 0.7500 0.2500
La 0.5000 0.2500 0.7500
La 0.0000 0.5000 0.5000
Dy 0.4958 0.2431 0.2431
Dy 0.5042 0.7473 0.7473
Dy 0.0000 0.7569 0.2527
Dy 0.0000 0.2527 0.7569
Dy 0.2478 0.3723 0.3723
Dy 0.7522 0.1245 0.1245
Dy 0.0000 0.6277 0.8755
Dy 0.0000 0.8755 0.6277
Y 0.0000 0.0000 0.0000

Formation energy = 701 kJ/mol of formula units
Total magnetization = 0.00 Bohr magnetons per cell

---

First-principles (PBE-GGA) data for La3Dy4Y after structural relaxation, as listed in Alexandria.

a b c (Å): 3.5107 9.0233 9.0233
angles (deg): 82.02 78.78 78.78
Positions (direct):
Y 0.5000 0.0000 0.0000
Dy 0.6345 0.1106 0.6204
Dy 0.3655 0.8894 0.3796
Dy 0.3655 0.3796 0.8894
Dy 0.6345 0.6204 0.1106
La 0.7550 0.2450 0.2450
La 0.2450 0.7550 0.7550
La 0.0000 0.5000 0.5000

Formation energy = 103 kJ/mol of formula units
Total magnetization = 0.00 Bohr magnetons per cell

---

First-principles (PBE-GGA) data for LaDyY14 after structural relaxation, as listed in Alexandria.

a b c (Å): 7.1638 7.1638 10.1168
angles (deg): 90.00 90.00 90.00
Positions (direct):
La 0.8750 0.1250 0.0000
Dy 0.3750 0.6250 0.0000
Y 0.3749 0.6251 0.5000
Y 0.8750 0.1250 0.5000
Y 0.8749 0.6248 0.0000
Y 0.8749 0.6249 0.5000
Y 0.3752 0.1251 0.0000
Y 0.3751 0.1251 0.5000
Y 0.6236 0.8737 0.7489
Y 0.6236 0.8737 0.2511
Y 0.1263 0.3764 0.7489
Y 0.1263 0.3764 0.2511
Y 0.1263 0.8737 0.7489
Y 0.1263 0.8737 0.2511
Y 0.6237 0.3763 0.7490
Y 0.6237 0.3763 0.2510

Formation energy = 36 kJ/mol of formula units
Total magnetization = 0.00 Bohr magnetons per cell

---

First-principles (PBE-GGA) data for La3Dy2Y7 after structural relaxation, as listed in Alexandria.

a b c (Å): 3.6787 5.6713 20.6343
angles (deg): 90.00 95.11 90.00
Each line ends with the local moment (μB).
Positions (direct):
La 0.5000 0.5000 0.0000  -0.01
La 0.8300 0.0000 0.6596  -0.02
La 0.1700 0.0000 0.3404  -0.02
Dy 0.3633 0.5000 0.7263  -0.01
Dy 0.6367 0.5000 0.2737  -0.01
Y 0.2846 0.5000 0.5693  -0.19
Y 0.7154 0.5000 0.4307  -0.19
Y 0.4153 0.0000 0.8307  0.00
Y 0.0000 0.0000 0.0000  0.00
Y 0.5847 0.0000 0.1693  0.00
Y 0.0680 0.5000 0.1360  0.00
Y 0.9320 0.5000 0.8640  0.00

Formation energy = 265 kJ/mol of formula units
Total magnetization = 0.92 Bohr magnetons per cell

---

First-principles (PBE-GGA) data for La3Dy2Y after structural relaxation, as listed in Alexandria.

a b c (Å): 7.3342 10.4607 7.3652
angles (deg): 80.07 119.92 121.59
Positions (direct):
La 0.2604 0.0078 0.7521
La 0.7396 0.9922 0.2479
La 0.8046 0.6643 0.8605
La 0.1924 0.3348 0.6363
La 0.8076 0.6652 0.3637
La 0.1954 0.3357 0.1395
Dy 0.3036 0.6696 0.3606
Dy 0.3025 0.6674 0.8598
Dy 0.6975 0.3326 0.1402
Dy 0.6964 0.3304 0.6394
Y 0.2573 0.0046 0.2535
Y 0.7427 0.9954 0.7465

Formation energy = 10 kJ/mol of formula units
Total magnetization = 0.00 Bohr magnetons per cell

---

First-principles (PBE-GGA) data for LaDy5Y6 after structural relaxation, as listed in Alexandria.

a b c (Å): 6.1879 7.9982 7.9982
angles (deg): 84.26 97.49 97.49
Positions (direct):
Y 0.7502 0.9162 0.5817
Y 0.2498 0.4183 0.0838
Y 0.2515 0.7490 0.7490
Y 0.7485 0.2510 0.2510
Y 0.7502 0.5817 0.9162
Y 0.2498 0.0838 0.4183
Dy 0.5000 0.8309 0.1691
Dy 0.0000 0.6650 0.3350
Dy 0.5000 0.5000 0.5000
Dy 0.0000 0.3350 0.6650
Dy 0.5000 0.1691 0.8309
La 0.0000 0.0000 0.0000

Formation energy = 28 kJ/mol of formula units
Total magnetization = 0.00 Bohr magnetons per cell

---

First-principles (PBE-GGA) data for La4Dy4Y5 after structural relaxation, as listed in Alexandria.

a b c (Å): 5.1306 9.5671 9.5671
angles (deg): 85.88 74.45 74.45
Positions (direct):
La 0.9220 0.4607 0.6954
La 0.6173 0.3046 0.4607
La 0.0780 0.5393 0.3046
La 0.3827 0.6954 0.5393
Dy 0.7704 0.3830 0.0762
Dy 0.2296 0.6170 0.9238
Dy 0.8466 0.9238 0.3830
Dy 0.1534 0.0762 0.6170
Y 0.6888 0.8515 0.7710
Y 0.3112 0.1485 0.2290
Y 0.0000 0.0000 0.0000
Y 0.5402 0.7710 0.1485
Y 0.4598 0.2290 0.8515

Formation energy = 35 kJ/mol of formula units
Total magnetization = 0.00 Bohr magnetons per cell

---

First-principles (PBE-GGA) data for La12Dy5Y3 after structural relaxation, as listed in Alexandria.

a b c (Å): 16.4022 16.4022 16.4022
angles (deg): 109.47 109.47 109.47
Positions (direct):
Y 0.7500 0.3750 0.1250
Y 0.8750 0.7500 0.1250
Y 0.3750 0.7500 0.6250
Y 0.2500 0.1250 0.3750
Y 0.8750 0.1250 0.2500
Y 0.3750 0.6250 0.2500
Y 0.6250 0.3750 0.7500
Y 0.1250 0.8750 0.7500
Y 0.7500 0.8750 0.6250
Y 0.6250 0.2500 0.3750
Y 0.1250 0.2500 0.8750
Y 0.2500 0.6250 0.8750
Dy 0.1250 0.3750 0.2500
Dy 0.0000 0.5000 0.0000
Dy 0.0000 0.0000 0.0000
Dy 0.3750 0.2500 0.1250
Dy 0.5000 0.0000 0.5000
Dy 0.5000 0.5000 0.0000
Dy 0.1250 0.7500 0.3750
Dy 0.7500 0.1250 0.8750
Dy 0.7500 0.6250 0.3750
Dy 0.3750 0.1250 0.7500
Dy 0.6250 0.8750 0.2500
Dy 0.5000 0.5000 0.5000
Dy 0.5000 0.0000 0.0000
Dy 0.0000 0.0000 0.5000
Dy 0.2500 0.3750 0.6250
Dy 0.2500 0.8750 0.1250
Dy 0.0000 0.5000 0.5000
Dy 0.8750 0.2500 0.6250
Dy 0.6250 0.7500 0.8750
Dy 0.8750 0.6250 0.7500
La 0.7325 0.1329 0.0705
La 0.3380 0.5705 0.4376
La 0.9295 0.3671 0.2675
La 0.5705 0.2325 0.1329
La 0.5997 0.7325 0.6620
La 0.9295 0.5624 0.1620
La 0.3380 0.7675 0.4003
La 0.0624 0.9003 0.1329
La 0.5624 0.9295 0.6620
La 0.7325 0.5997 0.1620
La 0.7675 0.4295 0.3671
La 0.8380 0.9376 0.0705
La 0.1329 0.7325 0.5705
La 0.3671 0.4376 0.0997
La 0.0997 0.9376 0.3671
La 0.4003 0.1329 0.5624
La 0.0997 0.1620 0.2325
La 0.4295 0.6620 0.0624
La 0.8380 0.9003 0.2675
La 0.1329 0.4003 0.0624
La 0.3671 0.9295 0.7675
La 0.5624 0.6329 0.4003
La 0.9376 0.8380 0.5705
La 0.7675 0.3380 0.9003
La 0.4376 0.3671 0.5997
La 0.0624 0.1620 0.4295
La 0.2325 0.6620 0.0997
La 0.1620 0.0997 0.7325
La 0.6329 0.0705 0.2325
La 0.8671 0.5997 0.9376
La 0.5705 0.3380 0.9376
La 0.5997 0.8671 0.4376
La 0.9003 0.8380 0.7675
La 0.9003 0.0624 0.6329
La 0.8671 0.2675 0.4295
La 0.1620 0.0624 0.9295
La 0.6329 0.5624 0.9003
La 0.4376 0.0705 0.3380
La 0.2675 0.4003 0.8380
La 0.2325 0.5705 0.6329
La 0.9376 0.0997 0.8671
La 0.6620 0.2325 0.5997
La 0.4295 0.7675 0.8671
La 0.0705 0.4376 0.8380
La 0.4003 0.2675 0.3380
La 0.0705 0.6329 0.7325
La 0.6620 0.4295 0.5624
La 0.2675 0.8671 0.9295

Formation energy = 1826 kJ/mol of formula units
Total magnetization = 0.00 Bohr magnetons per cell

---

First-principles (PBE-GGA) data for La7Dy3Y2 after structural relaxation, as listed in Alexandria.

a b c (Å): 3.5815 6.5524 18.3729
angles (deg): 74.84 90.00 90.00
Positions (direct):
La 0.5000 0.2283 0.5083
La 0.5000 0.7717 0.4917
La 0.0000 0.5557 0.1672
La 0.0000 0.0000 0.0000
La 0.0000 0.4443 0.8328
La 0.5000 0.9458 0.8277
La 0.5000 0.0542 0.1723
Dy 0.5000 0.5000 0.0000
Dy 0.0000 0.1189 0.3377
Dy 0.0000 0.8811 0.6623
Y 0.5000 0.6125 0.3305
Y 0.5000 0.3875 0.6695

Formation energy = 75 kJ/mol of formula units
Total magnetization = 0.00 Bohr magnetons per cell

---

First-principles (PBE-GGA) data for LaDy9Y2 after structural relaxation, as listed in Alexandria.

a b c (Å): 3.5181 11.2954 11.2954
angles (deg): 120.00 90.00 90.00
Positions (direct):
La 0.0000 0.0000 0.0000
Dy 0.0000 0.0000 0.5000
Dy 0.0000 0.5000 0.5000
Dy 0.0000 0.5000 0.0000
Dy 0.5000 0.3566 0.1783
Dy 0.5000 0.1783 0.8217
Dy 0.5000 0.1783 0.3566
Dy 0.5000 0.8217 0.6434
Dy 0.5000 0.8217 0.1783
Dy 0.5000 0.6434 0.8217
Y 0.0000 0.3333 0.6667
Y 0.0000 0.6667 0.3333

Formation energy = 47 kJ/mol of formula units
Total magnetization = 0.00 Bohr magnetons per cell

---

First-principles (PBE-GGA) data for LaDy3Y after structural relaxation, as listed in Alexandria.

a b c (Å): 6.3315 9.6621 8.5464
angles (deg): 118.98 111.87 109.08
Positions (direct):
La 0.5713 0.0531 0.2525
La 0.4287 0.9469 0.7475
Dy 0.7664 0.4505 0.2497
Dy 0.8319 0.7463 0.7478
Dy 0.3650 0.6476 0.2477
Dy 0.6350 0.3524 0.7523
Dy 0.2336 0.5495 0.7503
Dy 0.1681 0.2537 0.2522
Y 0.0394 0.1557 0.7556
Y 0.9606 0.8443 0.2444

Formation energy = 10 kJ/mol of formula units
Total magnetization = 0.00 Bohr magnetons per cell

---

First-principles (PBE-GGA) data for La3Dy5Y2 after structural relaxation, as listed in Alexandria.

a b c (Å): 9.5179 9.4873 11.2048
angles (deg): 124.95 125.01 69.40
Positions (direct):
La 0.2328 0.9828 0.9655
La 0.7672 0.0172 0.0345
La 0.7296 0.4710 0.2477
La 0.2704 0.5290 0.7523
La 0.0181 0.7767 0.2477
La 0.9819 0.2233 0.7523
Dy 0.2727 0.5227 0.0454
Dy 0.7273 0.4773 0.9546
Dy 0.0237 0.7737 0.5474
Dy 0.5299 0.2799 0.5598
Dy 0.9763 0.2263 0.4526
Dy 0.4701 0.7201 0.4402
Dy 0.8501 0.6029 0.7269
Dy 0.1499 0.3971 0.2731
Dy 0.3768 0.1240 0.7269
Dy 0.6232 0.8760 0.2731
Y 0.7681 0.0109 0.7341
Y 0.2319 0.9891 0.2659
Y 0.4659 0.7232 0.7341
Y 0.5341 0.2768 0.2659

Formation energy = 185 kJ/mol of formula units
Total magnetization = 0.00 Bohr magnetons per cell